Entry 1:
Here is a relaxed structure of Sm4HgB2 from OQMD. Energies are from GGA-PBE.

Structure (CIF):
```
data_Sm4HgB2
_chemical_formula_sum 'Sm8 Hg2 B4'
_space_group_name_H-M_alt 'C m m m'
_space_group_IT_number 65
_space_group_name_Hall '-C 2 2'
_cell_length_a 8.1761
_cell_length_b 11.0915
_cell_length_c 3.8742
_cell_angle_alpha 90.00
_cell_angle_beta 90.00
_cell_angle_gamma 90.00
loop_
_atom_site_label
_atom_site_type_symbol
_atom_site_fract_x
_atom_site_fract_y
_atom_site_fract_z
Sm1 Sm 0.0000 0.2299 0.0000
Sm2 Sm 0.2149 0.0000 0.5000
Hg1 Hg 0.0000 0.5000 0.0000
B1 B 0.2500 0.2500 0.5000
```

=====

Entry 2:
Here is a relaxed structure of AlHgI4 from OQMD. Energies are from GGA-PBE.

Structure (CIF):
```
data_AlHgI4
_chemical_formula_sum 'Al2 Hg2 I8'
_space_group_name_H-M_alt 'P -1'
_space_group_IT_number 2
_cell_length_a 7.5966
_cell_length_b 7.5994
_cell_length_c 10.9297
_cell_angle_alpha 76.03
_cell_angle_beta 83.30
_cell_angle_gamma 60.21
loop_
_space_group_symop_operation_xyz
'x,y,z'
'-x,-y,-z'
loop_
_atom_site_label
_atom_site_type_symbol
_atom_site_fract_x
_atom_site_fract_y
_atom_site_fract_z
Al1 Al 0.1654 0.0896 0.2258
Hg1 Hg 0.4952 0.4616 0.1274
I1 I 0.1649 0.1741 0.9890
I2 I 0.1669 0.9078 0.6860
I3 I 0.2031 0.3539 0.3171
I4 I 0.4648 0.7253 0.3137
```

=====

Entry 3:
Here is a relaxed structure of ZrInPd2 from OQMD. Energies are from GGA-PBE.

Structure (CIF):
```
data_ZrInPd2
_chemical_formula_sum 'Zr1 In1 Pd2'
_space_group_name_H-M_alt 'P 4/m m m'
_space_group_IT_number 123
_space_group_name_Hall '-P 4 2'
_cell_length_a 4.8421
_cell_length_b 4.8421
_cell_length_c 3.1360
_cell_angle_alpha 90.00
_cell_angle_beta 90.00
_cell_angle_gamma 90.00
loop_
_atom_site_label
_atom_site_type_symbol
_atom_site_fract_x
_atom_site_fract_y
_atom_site_fract_z
Zr1 Zr 0.0000 0.0000 0.0000
In1 In 0.5000 0.5000 0.0000
Pd1 Pd 0.0000 0.5000 0.5000
```

=====

Computed values of mass density (unit: Mg/m³) for the preceding records, in sequence: 7.786, 4.595, 9.460.
Computed values of E (unit: eV per formula unit) for the preceding records, in sequence: -31.46, -13.41, -23.83.